Computed, not measured: a relaxed structure of PrTmCdNi at the PBE level of DFT.

Structure (POSCAR):
```
PrTmCdNi
1.0
0.0000 3.6281 3.6281
3.6281 0.0000 3.6281
3.6281 3.6281 0.0000
Pr Tm Cd Ni
1 1 1 1
Direct
0.0000 0.0000 0.0000 Pr
0.5000 0.5000 0.5000 Tm
0.2500 0.2500 0.2500 Cd
0.7500 0.7500 0.7500 Ni
```

## Properties
* energy of formation: -207.4 meV/atom
* energy: -4.194 eV/atom
* SG: No. 216

***

Computed, not measured: a relaxed structure of Cs3AlSe3 at the PBE level of DFT.

Structure (POSCAR):
```
Cs3AlSe3
1.0
9.7506 0.0000 0.0000
0.0000 8.6086 0.0000
-2.1123 0.0000 13.8683
Cs Al Se
12 4 12
Direct
0.0786 0.1496 0.1343 Cs
0.0786 0.3504 0.6343 Cs
0.3180 0.7156 0.7886 Cs
0.3180 0.7844 0.2886 Cs
0.3906 0.2258 0.9224 Cs
0.3906 0.2742 0.4224 Cs
0.6094 0.7258 0.5776 Cs
0.6094 0.7742 0.0776 Cs
0.6820 0.2156 0.7114 Cs
0.6820 0.2844 0.2114 Cs
0.9214 0.6496 0.3657 Cs
0.9214 0.8504 0.8657 Cs
0.1610 0.5743 0.0457 Al
0.1610 0.9257 0.5457 Al
0.8390 0.0743 0.4543 Al
0.8390 0.4257 0.9543 Al
0.0664 0.0604 0.3929 Se
0.0664 0.4396 0.8929 Se
0.2387 0.6655 0.5223 Se
0.2387 0.8345 0.0223 Se
0.3428 0.0629 0.6456 Se
0.3428 0.4371 0.1456 Se
0.6572 0.5629 0.8544 Se
0.6572 0.9371 0.3544 Se
0.7613 0.1655 0.9777 Se
0.7613 0.3345 0.4777 Se
0.9336 0.5604 0.1071 Se
0.9336 0.9396 0.6071 Se
```

## Properties
* offset from the most stable computed form: 0 meV per atom
* energy: -3.599 eV/atom
* formation energy from raw total energies: -1.205 eV/atom
* SG: No. 14

***

Computed, not measured: a relaxed structure of LiPuZn4 at the PBE level of DFT.

Structure (POSCAR):
```
LiPuZn4
1.0
2.8278 0.0000 0.0000
0.0000 4.5439 0.0000
0.0000 0.0000 8.1520
Li Pu Zn
1 1 4
Direct
0.0000 0.0000 0.0000 Li
0.0000 0.5000 0.5000 Pu
0.5000 0.0000 0.3136 Zn
0.5000 0.0000 0.6864 Zn
0.5000 0.5000 0.1543 Zn
0.5000 0.5000 0.8457 Zn
```

## Properties
* offset from the most stable computed form: 0 meV per atom
* energy of formation: -151.9 meV/atom
* energy: -3.709 eV/atom
* SG: No. 47

***

Computed, not measured: a relaxed structure of KPuAu4 at the PBE level of DFT.

Structure (POSCAR):
```
KPuAu4
1.0
0.0000 4.0734 4.0734
4.0734 0.0000 4.0734
4.0734 4.0734 0.0000
K Pu Au
1 1 4
Direct
0.0000 0.0000 0.0000 K
0.7500 0.7500 0.7500 Pu
0.3750 0.3750 0.3750 Au
0.3750 0.3750 0.8749 Au
0.3750 0.8749 0.3750 Au
0.8749 0.3750 0.3750 Au
```

## Properties
* energy of formation: -193.4 meV/atom
* energy: -4.950 eV/atom
* SG: No. 216

***

Computed, not measured: a relaxed structure of Ba2CuRhCl at the PBE level of DFT.

Structure (POSCAR):
```
Ba2CuRhCl
1.0
5.9281 0.0000 0.0000
0.0000 5.9281 0.0000
0.0000 0.0000 4.7384
Ba Cu Rh Cl
2 1 1 1
Direct
0.0000 0.5000 0.0000 Ba
0.5000 0.0000 0.0000 Ba
0.0000 0.0000 0.5000 Cu
0.0000 0.0000 0.0000 Rh
0.5000 0.5000 0.5000 Cl
```

## Properties
* offset from the most stable computed form: 0 meV per atom
* energy: -4.033 eV/atom
* formation energy from raw total energies: -0.605 eV/atom
* SG: No. 123

***

Computed, not measured: a relaxed structure of Ca2LaRe at the PBE level of DFT.

Structure (POSCAR):
```
Ca2LaRe
1.0
4.4973 0.0000 0.0000
0.0000 4.4973 0.0000
0.0000 0.0000 5.2665
Ca La Re
2 1 1
Direct
0.0000 0.5000 0.0000 Ca
0.5000 0.0000 0.0000 Ca
0.0000 0.0000 0.5000 La
0.5000 0.5000 0.5000 Re
```

## Properties
* offset from the most stable computed form: 215 meV per atom
* energy of formation: 619.8 meV/atom
* energy: -4.725 eV/atom
* SG: No. 123

***

Computed, not measured: a relaxed structure of K2Li2Cd at the PBE level of DFT.

Structure (POSCAR):
```
K2Li2Cd
1.0
7.6840 0.0000 0.0000
0.0000 7.6840 0.0000
0.0000 0.0000 6.0548
K Li Cd
4 4 2
Direct
0.1866 0.3134 0.0000 K
0.3134 0.8134 0.0000 K
0.6866 0.1866 0.0000 K
0.8134 0.6866 0.0000 K
0.1454 0.6454 0.5000 Li
0.3546 0.1454 0.5000 Li
0.6454 0.8546 0.5000 Li
0.8546 0.3546 0.5000 Li
0.0000 0.0000 0.5000 Cd
0.5000 0.5000 0.5000 Cd
```

## Properties
* offset from the most stable computed form: 0 meV per atom
* energy of formation: 57.6 meV/atom
* energy: -1.330 eV/atom
* SG: No. 127

***

Computed, not measured: a relaxed structure of CaCuBi at the PBE level of DFT.

Structure (POSCAR):
```
CaCuBi
1.0
4.5390 0.0000 0.0000
-2.2695 3.9309 0.0000
0.0000 0.0000 4.4035
Ca Cu Bi
1 1 1
Direct
0.0000 0.0000 0.0000 Ca
0.3333 0.6667 0.5000 Cu
0.6667 0.3333 0.5000 Bi
```

## Properties
* energy of formation: -415.2 meV/atom
* energy: -3.741 eV/atom
* SG: No. 187

***

Number 1: density of states at the Fermi level 0.915 states/eV/atom. Number 2: density of states at the Fermi level 0.000 states/eV/atom. Number 3: density of states at the Fermi level 1.212 states/eV/atom. Number 4: density of states at the Fermi level 2.923 states/eV/atom. Number 5: density of states at the Fermi level 0.502 states/eV/atom. Number 6: density of states at the Fermi level 1.331 states/eV/atom. Number 7: density of states at the Fermi level 0.556 states/eV/atom. Number 8: density of states at the Fermi level 0.392 states/eV/atom.